Compound: ScTa2Te
Source: Alexandria via LeMat-Bulk
Functional: PBE
Structure: optimized geometry

Output
Space-group type: I-42d (122)
Energy above the lowest structure with this stoichiometry in kJ/mol of atoms: 34.8
E_form (uncorrected) in kJ/mol of atoms: 23.1

a = 4.0498 Å, b = 4.0498 Å, c = 10.8398 Å
α = 79.23°, β = 79.23°, γ = 90.00°
Last column: nearest neighbours and their distance in Å.
Fractional positions:
Sc  0.5000  0.5000  0.0000  4 Te 2.86, 4 Ta 2.98
Sc  0.2500  0.7500  0.5000  4 Te 2.86, 4 Ta 2.98
Te  0.0000  0.0000  0.0000  4 Sc 2.86, 4 Ta 2.98
Te  0.7500  0.2500  0.5000  4 Sc 2.86, 4 Ta 2.98
Ta  0.6268  0.1250  0.2500  4 Ta 2.85-2.87, 2 Te 2.98, 2 Sc 2.98
Ta  0.1232  0.6250  0.2500  4 Ta 2.85-2.87, 2 Te 2.98, 2 Sc 2.98
Ta  0.3750  0.3732  0.7500  4 Ta 2.85-2.87, 2 Te 2.98, 2 Sc 2.98
Ta  0.8750  0.8768  0.7500  4 Ta 2.85-2.87, 2 Te 2.98, 2 Sc 2.98

=====

Compound: Mg2B2Ir5Rh
Source: Alexandria via LeMat-Bulk
Functional: PBE
Structure: optimized geometry

Output
Space-group type: P4/mbm (127)
E_form in eV per atom: -0.324

a = 2.9042 Å, b = 9.6613 Å, c = 9.6613 Å
α = 90.00°, β = 90.00°, γ = 90.00°
Last column: nearest neighbours and their distance in Å.
Fractional positions:
Mg  0.0000  0.6777  0.1777  3 B 2.72-2.95, 10 Ir 2.83-2.98, 2 Mg 2.90
Mg  0.0000  0.3223  0.8223  3 B 2.72-2.95, 10 Ir 2.83-2.98, 2 Mg 2.90
Mg  0.0000  0.1777  0.3223  3 B 2.72-2.95, 10 Ir 2.83-2.98, 2 Mg 2.90
Mg  0.0000  0.8223  0.6777  3 B 2.72-2.95, 10 Ir 2.83-2.98, 2 Mg 2.90
B  0.0000  0.1231  0.6231  6 Ir 2.15-2.22
B  0.0000  0.8769  0.3769  6 Ir 2.15-2.22
B  0.0000  0.6231  0.8769  6 Ir 2.15-2.22
B  0.0000  0.3769  0.1231  6 Ir 2.15-2.22
Ir  0.5000  0.2214  0.0715  2 B 2.15
Ir  0.5000  0.7786  0.9285  2 B 2.15
Ir  0.5000  0.0715  0.7786  2 B 2.15
Ir  0.5000  0.7214  0.4285  2 B 2.15
Ir  0.5000  0.9285  0.2214  2 B 2.15
Ir  0.5000  0.2786  0.5715  2 B 2.15
Ir  0.5000  0.5715  0.7214  2 B 2.15
Ir  0.5000  0.4285  0.2786  2 B 2.15
Ir  0.5000  0.5000  0.0000  4 B 2.22
Ir  0.5000  0.0000  0.5000  4 B 2.22
Rh  0.0000  0.0000  0.0000  8 Ir 2.68, 2 Rh 2.90
Rh  0.0000  0.5000  0.5000  8 Ir 2.68, 2 Rh 2.90

=====

Compound: LiW2Cl
Source: Alexandria via LeMat-Bulk
Functional: PBE
Structure: optimized geometry

Output
Space-group type: I-42d (122)
Energy above the lowest structure with this stoichiometry in kJ/mol of atoms: 62.2
E_form (uncorrected) in kJ/mol of atoms: 66.8

a = 3.6085 Å, b = 3.6085 Å, c = 11.7078 Å
α = 81.13°, β = 81.13°, γ = 90.00°
Last column: nearest neighbours and their distance in Å.
Fractional positions:
Li  0.5000  0.5000  0.0000  4 Cl 2.55
Li  0.2500  0.7500  0.5000  4 Cl 2.55
W  0.6108  0.1250  0.2500  4 W 2.48-2.63
W  0.1392  0.6250  0.2500  4 W 2.48-2.63
W  0.3750  0.3892  0.7500  4 W 2.48-2.63
W  0.8750  0.8608  0.7500  4 W 2.48-2.63
Cl  0.0000  0.0000  0.0000  4 Li 2.55
Cl  0.7500  0.2500  0.5000  4 Li 2.55

=====

Compound: DyTm3Hg2
Source: Alexandria via LeMat-Bulk
Functional: PBE
Structure: optimized geometry

Output
Space-group type: Pmc2_1 (26)
Energy above the lowest structure with this stoichiometry in kJ/mol of atoms: 0.0
E_form in eV per atom: -0.365

a = 5.0472 Å, b = 7.0035 Å, c = 9.1276 Å
α = 90.00°, β = 90.00°, γ = 90.00°
Last column: nearest neighbours and their distance in Å.
Fractional positions:
Dy  0.5000  0.5159  0.5551  3 Hg 3.12-3.21, 1 Tm 3.47
Dy  0.5000  0.0159  0.4449  3 Hg 3.12-3.21, 1 Tm 3.47
Tm  0.0000  0.4837  0.9446  3 Hg 3.11-3.20, 1 Tm 3.45
Tm  0.0000  0.9837  0.0554  3 Hg 3.11-3.20, 1 Tm 3.45
Tm  0.5000  0.6690  0.1738  4 Hg 2.98-3.07
Tm  0.5000  0.1690  0.8262  4 Hg 2.98-3.07
Tm  0.0000  0.3314  0.3229  4 Hg 3.02-3.05
Tm  0.0000  0.8314  0.6771  4 Hg 3.02-3.05
Hg  0.5000  0.7384  0.8516  6 Tm 2.98-3.20, 1 Dy 3.12
Hg  0.5000  0.2384  0.1484  6 Tm 2.98-3.20, 1 Dy 3.12
Hg  0.0000  0.2616  0.6491  5 Tm 3.02-3.11, 2 Dy 3.21
Hg  0.0000  0.7616  0.3509  5 Tm 3.02-3.11, 2 Dy 3.21

=====

Compound: TbCe2ErSe4
Source: Alexandria via LeMat-Bulk
Functional: PBE
Structure: optimized geometry

Output
Space-group type: P2/m (10)
E_form (uncorrected) in kJ/mol of atoms: -172.8

a = 4.0929 Å, b = 7.1129 Å, c = 7.2667 Å
α = 108.92°, β = 90.00°, γ = 90.00°
Last column: nearest neighbours and their distance in Å.
Fractional positions:
Tb  0.5000  0.5000  0.0000  6 Se 2.88-2.89
Ce  0.5000  0.0000  0.5000  6 Se 2.97
Ce  0.0000  0.5000  0.5000  6 Se 2.99
Er  0.0000  0.0000  0.0000  6 Se 2.86
Se  0.5000  0.2427  0.2360  2 Er 2.86, 1 Tb 2.89, 3 Ce 2.97-2.99
Se  0.5000  0.7573  0.7640  2 Er 2.86, 1 Tb 2.89, 3 Ce 2.97-2.99
Se  0.0000  0.2514  0.7621  1 Er 2.86, 2 Tb 2.88, 3 Ce 2.97-2.99
Se  0.0000  0.7486  0.2379  1 Er 2.86, 2 Tb 2.88, 3 Ce 2.97-2.99

=====

Compound: AlInI6
Source: Alexandria via LeMat-Bulk
Functional: PBE
Structure: optimized geometry

Output
Space-group type: P-1 (2)
E_form (uncorrected) in kJ/mol of atoms: -41.1

a = 8.2139 Å, b = 7.0990 Å, c = 8.0060 Å
α = 99.25°, β = 104.89°, γ = 125.36°
Last column: nearest neighbours and their distance in Å.
Fractional positions:
Al  0.5000  0.0000  0.0000  6 I 2.79-2.81
In  0.0000  0.0000  0.0000  6 I 2.95-3.03
I  0.8741  0.1340  0.2811  1 Al 2.79, 1 In 2.95
I  0.5983  0.8650  0.7182  1 Al 2.79, 1 In 2.95
I  0.4017  0.1350  0.2818  1 Al 2.79, 1 In 2.95
I  0.1259  0.8660  0.7189  1 Al 2.79, 1 In 2.95
I  0.2299  0.4891  0.9429  1 Al 2.81, 1 In 3.03
I  0.7701  0.5109  0.0571  1 Al 2.81, 1 In 3.03

=====

Compound: Cs2CeRhS4
Source: Alexandria via LeMat-Bulk
Functional: PBE
Structure: optimized geometry

Output
Space-group type: Fddd (70)
E_form (uncorrected) in kJ/mol of atoms: -95.7

a = 6.4432 Å, b = 8.1718 Å, c = 13.0743 Å
α = 84.43°, β = 75.73°, γ = 66.78°
Last column: nearest neighbours and their distance in Å.
Fractional positions:
Cs  0.1812  0.0000  0.6377  4 S 3.56-3.81
Cs  0.8188  0.0000  0.3623  4 S 3.56-3.81
Cs  0.5688  0.5000  0.8623  4 S 3.56-3.81
Cs  0.9312  0.5000  0.1377  4 S 3.56-3.81
Ce  0.7500  0.5000  0.5000  4 S 2.60
Ce  0.0000  0.0000  0.0000  4 S 2.60
Rh  0.2500  0.5000  0.5000  4 S 2.33
Rh  0.5000  0.0000  0.0000  4 S 2.33
S  0.3427  0.7945  0.0819  1 Rh 2.33, 1 Ce 2.60
S  0.2191  0.2055  0.9181  1 Rh 2.33, 1 Ce 2.60
S  0.8627  0.7945  0.9181  1 Rh 2.33, 1 Ce 2.60
S  0.5754  0.2055  0.0819  1 Rh 2.33, 1 Ce 2.60
S  0.4073  0.7055  0.4181  1 Rh 2.33, 1 Ce 2.60
S  0.5309  0.2945  0.5819  1 Rh 2.33, 1 Ce 2.60
S  0.8873  0.7055  0.5819  1 Rh 2.33, 1 Ce 2.60
S  0.1746  0.2945  0.4181  1 Rh 2.33, 1 Ce 2.60

=====

Compound: RbMg14Si
Source: Alexandria via LeMat-Bulk
Functional: PBE
Structure: optimized geometry

Output
Space-group type: Amm2 (38)
Energy above the lowest structure with this stoichiometry in kJ/mol of atoms: 0.0
E_form (uncorrected) in kJ/mol of atoms: 13.7

a = 6.7883 Å, b = 6.7883 Å, c = 10.2537 Å
α = 90.00°, β = 90.00°, γ = 123.93°
Last column: nearest neighbours and their distance in Å.
Fractional positions:
Rb  0.3087  0.6913  0.5000  10 Mg 3.27-3.41, 2 Si 3.28
Mg  0.8262  0.1738  0.0000  12 Mg 3.16-3.47
Mg  0.3326  0.6674  0.0000  12 Mg 3.17-3.44
Mg  0.3068  0.1876  0.5000  1 Si 2.76
Mg  0.3398  0.1776  0.0000  8 Mg 3.05-3.35
Mg  0.8124  0.6932  0.5000  1 Si 2.76
Mg  0.8224  0.6602  0.0000  8 Mg 3.05-3.35
Mg  0.1667  0.3204  0.2438  8 Mg 3.09-3.28, 1 Si 3.12, 1 Rb 3.39
Mg  0.1667  0.3204  0.7562  8 Mg 3.09-3.28, 1 Si 3.12, 1 Rb 3.39
Mg  0.6796  0.8333  0.2438  8 Mg 3.09-3.28, 1 Si 3.12, 1 Rb 3.39
Mg  0.6796  0.8333  0.7562  8 Mg 3.09-3.28, 1 Si 3.12, 1 Rb 3.39
Mg  0.6850  0.3150  0.2839  7 Mg 3.13-3.37, 1 Si 3.14
Mg  0.6850  0.3150  0.7161  7 Mg 3.13-3.37, 1 Si 3.14
Mg  0.1590  0.8410  0.2330  9 Mg 3.05-3.38, 1 Rb 3.27
Mg  0.1590  0.8410  0.7670  9 Mg 3.05-3.38, 1 Rb 3.27
Si  0.8704  0.1296  0.5000  2 Mg 2.76

=====

Compound: LiSe
Source: Alexandria via LeMat-Bulk
Functional: PBE
Structure: optimized geometry

Output
Space-group type: P-1 (2)
Energy above the lowest structure with this stoichiometry in kJ/mol of atoms: 0.0
E_form (uncorrected) in kJ/mol of atoms: -87.8

a = 4.4817 Å, b = 4.5864 Å, c = 5.2331 Å
α = 64.75°, β = 79.03°, γ = 60.20°
Last column: nearest neighbours and their distance in Å.
Fractional positions:
Li  0.2540  0.6172  0.7493  5 Se 2.61-2.73
Li  0.7460  0.3828  0.2507  5 Se 2.61-2.73
Se  0.5826  0.9628  0.7432  5 Li 2.61-2.73, 2 Se 2.62-2.77
Se  0.4174  0.0372  0.2568  5 Li 2.61-2.73, 2 Se 2.62-2.77

=====

Compound: BaCr2As2
Source: Alexandria via LeMat-Bulk
Functional: PBE
Structure: optimized geometry

Output
Space-group type: I4/mmm (139)
Energy above the lowest structure with this stoichiometry in kJ/mol of atoms: 0.0
E_form in eV per atom: -0.474

a = 7.1394 Å, b = 7.1394 Å, c = 7.1394 Å
α = 146.42°, β = 146.42°, γ = 48.22°
Last column: nearest neighbours and their distance in Å.
Fractional positions:
Ba  0.0000  0.0000  0.0000  8 As 3.49, 8 Cr 3.86
Cr  0.2500  0.7500  0.5000  4 As 2.46
Cr  0.7500  0.2500  0.5000  4 As 2.46
As  0.3523  0.3523  0.0000  4 Cr 2.46
As  0.6477  0.6477  0.0000  4 Cr 2.46

=====

Compound: CuSiTe4
Source: Alexandria via LeMat-Bulk
Functional: PBE
Structure: optimized geometry

Output
Space-group type: F-43m (216)
Energy above the lowest structure with this stoichiometry in kJ/mol of atoms: 80.6
E_form (uncorrected) in kJ/mol of atoms: 89.4

a = 6.2559 Å, b = 6.2559 Å, c = 6.2559 Å
α = 60.00°, β = 60.00°, γ = 60.00°
Last column: nearest neighbours and their distance in Å.
Fractional positions:
Cu  0.7500  0.7500  0.7500  12 Te 3.67, 4 Si 3.83
Si  0.0000  0.0000  0.0000  12 Te 3.67, 4 Cu 3.83
Te  0.8754  0.3749  0.3749  6 Te 3.12-3.13
Te  0.3749  0.3749  0.8754  6 Te 3.12-3.13
Te  0.3749  0.8754  0.3749  6 Te 3.12-3.13
Te  0.3749  0.3749  0.3749  6 Te 3.12-3.13

=====

Compound: NbVReW
Source: Alexandria via LeMat-Bulk
Functional: PBE
Structure: optimized geometry

Output
Space-group type: F-43m (216)
E_form in eV per atom: -0.192

a = 4.4542 Å, b = 4.4542 Å, c = 4.4542 Å
α = 60.00°, β = 60.00°, γ = 60.00°
Last column: nearest neighbours and their distance in Å.
Fractional positions:
Re  0.7500  0.7500  0.7500  4 W 2.73, 4 Nb 2.73
Nb  0.5000  0.5000  0.5000  4 Re 2.73, 4 V 2.73
W  0.0000  0.0000  0.0000  4 Re 2.73, 4 V 2.73
V  0.2500  0.2500  0.2500  4 Nb 2.73, 4 W 2.73